Sr4ZnIn SCAN single point on PBEsol structure; size of the total moment = 0.13 μB per formula unit; E_form = 0.478 eV/atom; DOS(E_F) = 6.1 states/eV per cell
1.0
0.000 4.921 4.921
4.921 0.000 4.921
4.921 4.921 0.000
Sr Zn In
4 1 1
Direct
0.125 0.125 0.125
0.125 0.125 0.624
0.125 0.624 0.125
0.624 0.125 0.125
0.750 0.750 0.750
0.500 0.500 0.500

SrZrIn2 SCAN single point on PBEsol structure; size of the total moment = 0.00 μB per formula unit; E_form = -0.144 eV/atom; DOS(E_F) = 5.8 states/eV per cell
1.0
3.611 0.000 0.000
0.000 5.206 0.000
0.000 0.000 10.887
Sr Zr In
2 2 4
Direct
0.000 0.000 0.000
0.500 0.500 0.500
0.000 0.500 0.771
0.500 0.000 0.271
0.000 0.000 0.520
0.000 0.500 0.238
0.500 0.000 0.738
0.500 0.500 0.020

SrZrIn2 SCAN single point on PBEsol structure; size of the total moment = 0.00 μB per formula unit; E_form = -0.284 eV/atom; DOS(E_F) = 1.7 states/eV per cell
1.0
5.476 0.000 0.000
0.000 5.476 0.000
0.000 0.000 3.336
Sr Zr In
1 1 2
Direct
0.000 0.000 0.000
0.500 0.500 0.000
0.000 0.500 0.500
0.500 0.000 0.500

TaIn SCAN single point on PBEsol structure; size of the total moment = 0.00 μB per formula unit; E_form = 0.205 eV/atom; DOS(E_F) = 2.8 states/eV per cell
1.0
3.608 0.000 0.000
0.000 4.611 0.000
0.000 0.000 9.229
Ta In
4 4
Direct
0.000 0.250 0.139
0.000 0.750 0.861
0.500 0.250 0.361
0.500 0.750 0.639
0.000 0.250 0.621
0.000 0.750 0.379
0.500 0.250 0.879
0.500 0.750 0.121

Ta4In SCAN single point on PBEsol structure; size of the total moment = 0.00 μB per formula unit; E_form = 0.060 eV/atom; DOS(E_F) = 7.2 states/eV per cell
1.0
7.290 0.000 0.000
0.000 7.290 0.000
0.000 0.000 3.458
Ta In
8 2
Direct
0.097 0.310 0.000
0.190 0.597 0.500
0.310 0.903 0.000
0.403 0.190 0.500
0.597 0.810 0.500
0.690 0.097 0.000
0.810 0.403 0.500
0.903 0.690 0.000
0.000 0.000 0.500
0.500 0.500 0.000

TaIn3 SCAN single point on PBEsol structure; size of the total moment = 0.00 μB per formula unit; E_form = 0.185 eV/atom; DOS(E_F) = 1.5 states/eV per cell
1.0
2.999 0.000 0.000
0.000 2.999 0.000
0.000 0.000 9.568
Ta In
1 3
Direct
0.000 0.000 0.000
0.000 0.000 0.500
0.500 0.500 0.224
0.500 0.500 0.776